No. 1
Ce3ThTl4: optimized geometry, PBE.

abc: 3.342 5.905 11.822
angles: 90.00 90.00 90.00
Sites, in units of the cell vectors:
Tl1 0.000 0.500 0.252
Tl2 0.000 0.000 0.500
Tl3 0.000 0.500 0.748
Tl4 0.000 0.000 0.000
Ce1 0.500 0.500 0.500
Ce2 0.500 0.000 0.750
Ce3 0.500 0.000 0.250
Th1 0.500 0.500 0.000

No. 2
CeTmThTl: optimized geometry, PBE.

abc: 5.446 5.446 5.446
angles: 60.00 60.00 60.00
Sites, in units of the cell vectors:
Th1 0.500 0.500 0.500
Ce1 0.250 0.250 0.250
Tm1 0.000 0.000 0.000
Tl1 0.750 0.750 0.750

No. 3
Ce2ThTl2Zn2: optimized geometry, PBE.

abc: 4.603 4.603 9.848
angles: 76.48 76.48 60.00
Sites, in units of the cell vectors:
Ce1 0.144 0.144 0.568
Ce2 0.856 0.856 0.432
Tl1 0.733 0.733 0.801
Tl2 0.267 0.267 0.199
Zn1 0.418 0.418 0.745
Zn2 0.582 0.582 0.255
Th1 0.000 0.000 0.000

No. 4
CeThZrTl: optimized geometry, PBE.

abc: 5.414 5.414 5.414
angles: 60.00 60.00 60.00
Sites, in units of the cell vectors:
Th1 0.250 0.250 0.250
Tl1 0.000 0.000 0.000
Ce1 0.750 0.750 0.750
Zr1 0.500 0.500 0.500

No. 5
Ce2TmTh9: optimized geometry, PBE.

abc: 4.989 4.989 15.048
angles: 90.00 90.00 90.00
Sites, in units of the cell vectors:
Ce1 0.000 0.000 0.666
Ce2 0.000 0.000 0.334
Th1 0.500 0.000 0.831
Th2 0.500 0.500 0.000
Th3 0.500 0.500 0.336
Th4 0.000 0.500 0.169
Th5 0.500 0.000 0.500
Th6 0.500 0.500 0.664
Th7 0.500 0.000 0.169
Th8 0.000 0.500 0.831
Th9 0.000 0.500 0.500
Tm1 0.000 0.000 0.000

No. 6
Ce2Tm3Th4: optimized geometry, PBE.

abc: 10.944 6.776 8.394
angles: 74.53 99.38 111.18
Sites, in units of the cell vectors:
Th1 0.606 0.989 0.366
Th2 0.394 0.011 0.634
Th3 0.931 0.321 0.357
Th4 0.501 0.445 0.301
Th5 0.069 0.679 0.643
Th6 0.499 0.555 0.699
Th7 0.042 0.765 0.031
Th8 0.958 0.235 0.969
Tm1 0.381 0.099 0.027
Tm2 0.156 0.210 0.694
Tm3 0.844 0.790 0.306
Tm4 0.270 0.660 0.363
Tm5 0.619 0.901 0.973
Tm6 0.730 0.340 0.637
Ce1 0.180 0.132 0.300
Ce2 0.720 0.449 0.024
Ce3 0.820 0.868 0.700
Ce4 0.280 0.551 0.976

No. 7
CeTm5Th4: optimized geometry, PBE.

abc: 3.455 11.440 8.579
angles: 70.76 101.63 90.01
Sites, in units of the cell vectors:
Th1 0.403 0.800 0.805
Th2 0.597 0.200 0.195
Th3 0.908 0.298 0.817
Th4 0.092 0.702 0.183
Tm1 0.792 0.616 0.583
Tm2 0.193 0.912 0.385
Tm3 0.208 0.384 0.417
Tm4 0.500 0.500 0.000
Tm5 0.807 0.088 0.615
Ce1 0.500 0.000 0.000

No. 8
Ce2TmTh: optimized geometry, PBE.

abc: 4.994 4.865 4.865
angles: 90.00 90.00 90.00
Sites, in units of the cell vectors:
Ce1 0.000 0.000 0.500
Ce2 0.000 0.500 0.000
Th1 0.500 0.500 0.500
Tm1 0.500 0.000 0.000

Calculated values
ΔE to the lowest computed polymorph: 0.07 eV per formula unit

No. 9
CeTmTh6: optimized geometry, PBE.

abc: 8.233 8.233 5.973
angles: 68.77 68.77 42.54
Sites, in units of the cell vectors:
Th1 0.124 0.124 0.375
Th2 0.876 0.876 0.625
Th3 0.625 0.625 0.876
Th4 0.755 0.755 0.245
Th5 0.245 0.245 0.755
Th6 0.375 0.375 0.124
Ce1 0.000 0.000 0.000
Tm1 0.500 0.500 0.500

Calculated values
ΔE to the lowest computed polymorph: 0.63 eV per formula unit

No. 10
Ce2Tm3Th2: optimized geometry, PBE.

abc: 3.454 5.107 12.179
angles: 77.90 90.00 90.00
Sites, in units of the cell vectors:
Tm1 0.500 0.428 0.144
Tm2 0.500 0.572 0.856
Tm3 0.000 0.000 0.000
Th1 0.000 0.855 0.291
Th2 0.000 0.145 0.709
Ce1 0.500 0.281 0.439
Ce2 0.500 0.719 0.561

No. 11
CeTmTh2: optimized geometry, PBE.

abc: 3.431 3.431 12.354
angles: 82.02 82.02 60.00
Sites, in units of the cell vectors:
Tm1 0.500 0.500 0.500
Ce1 0.000 0.000 0.000
Th1 0.914 0.914 0.259
Th2 0.086 0.086 0.741

Calculated values
ΔE to the lowest computed polymorph: 0.65 eV per formula unit

No. 12
CeTmTh2: optimized geometry, PBE.

abc: 3.516 3.516 11.656
angles: 81.32 81.32 60.00
Sites, in units of the cell vectors:
Th1 0.249 0.249 0.253
Th2 0.084 0.084 0.748
Ce1 0.499 0.499 0.503
Tm1 0.668 0.668 0.996

Calculated values
ΔE to the lowest computed polymorph: 0.06 eV per formula unit

| no. | total DFT energy (no corrections) (eV/atom) | density (kg/m3) |
| --- | --- | --- |
| 1 | -4.5261 | 10462 |
| 2 | -4.9628 | 10836 |
| 3 | -3.8756 | 10036 |
| 4 | -5.9550 | 9884 |
| 5 | -6.8992 | 11251 |
| 6 | -6.0376 | 10211 |
| 7 | -5.6931 | 10156 |
| 8 | -5.8613 | 9569 |
| 9 | -6.7528 | 11198 |
| 10 | -5.6754 | 9890 |
| 11 | -6.1211 | 10330 |
| 12 | -6.2699 | 10446 |